Material: RbNpCoSe3
Method: DFT, PBE-GGA
State: relaxed

a b c (Å): 9.4945 4.0362 9.7300
angles (deg): 90.00 111.38 90.00
Sites, in units of the cell vectors:
Rb  0.2038  0.2500  0.2375
Rb  0.7962  0.7500  0.7625
Np  0.3214  0.7500  0.8409
Np  0.6786  0.2500  0.1591
Co  0.0807  0.2500  0.5884
Co  0.9193  0.7500  0.4116
Se  0.1187  0.2500  0.8506
Se  0.1828  0.7500  0.5300
Se  0.4633  0.7500  0.1569
Se  0.5367  0.2500  0.8431
Se  0.8172  0.2500  0.4700
Se  0.8813  0.7500  0.1494

Results
ΔE_f (raw)   -915 meV per atom
Spin magnetization   4.71 μB/f.u.


Material: Rb2Np2CoSe6
Method: DFT, PBE-GGA
State: relaxed

a b c (Å): 6.8885 6.8885 8.5552
angles (deg): 98.06 98.06 119.43
Sites, in units of the cell vectors:
Rb  0.1703  0.8297  0.0000
Rb  0.8297  0.1703  0.0000
Np  0.3326  0.6674  0.5000
Np  0.6674  0.3326  0.5000
Co  0.0000  0.0000  0.5000
Se  0.0661  0.3785  0.6847
Se  0.2488  0.2488  0.3182
Se  0.3785  0.0661  0.6847
Se  0.6215  0.9339  0.3153
Se  0.7512  0.7512  0.6818
Se  0.9339  0.6215  0.3153

Results
ΔE_f (raw)   -918 meV per atom
Spin magnetization   7.80 μB/f.u.


Material: NpCo4Re
Method: DFT, PBE-GGA
State: relaxed

a b c (Å): 4.8384 4.8384 4.8384
angles (deg): 60.00 60.00 60.00
Sites, in units of the cell vectors:
Np  0.0000  0.0000  0.0000
Co  0.3760  0.3760  0.3760
Co  0.3760  0.3760  0.8719
Co  0.3760  0.8719  0.3760
Co  0.8719  0.3760  0.3760
Re  0.7500  0.7500  0.7500

Results
Energy of formation from the pure elements   10.9 kJ/mol of atoms
Spin magnetization   3.37 μB/f.u.


Material: NpCoRe
Method: DFT, PBE-GGA
State: relaxed

a b c (Å): 6.5383 6.0781 4.2885
angles (deg): 76.03 64.44 39.53
Sites, in units of the cell vectors:
Np  0.1782  0.8218  0.1782
Np  0.8218  0.1782  0.8218
Co  0.3828  0.3828  0.6172
Co  0.6172  0.6172  0.3828
Re  0.2500  0.2500  0.2500
Re  0.7500  0.7500  0.7500

Results
Energy of formation from the pure elements   41.4 kJ/mol of atoms
Spin magnetization   2.08 μB/f.u.


Material: NpCo2Re
Method: DFT, PBE-GGA
State: relaxed

a b c (Å): 3.8784 3.8784 3.8126
angles (deg): 90.00 90.00 90.00
Sites, in units of the cell vectors:
Np  0.0000  0.0000  0.0000
Co  0.0000  0.5000  0.5000
Co  0.5000  0.0000  0.5000
Re  0.5000  0.5000  0.0000

Results
Energy of formation from the pure elements   9.6 kJ/mol of atoms
Spin magnetization   0.49 μB/f.u.


Material: NpCoRh2
Method: DFT, PBE-GGA
State: relaxed

a b c (Å): 3.9794 3.9794 3.9259
angles (deg): 90.00 90.00 90.00
Sites, in units of the cell vectors:
Np  0.0000  0.0000  0.0000
Co  0.5000  0.5000  0.0000
Rh  0.0000  0.5000  0.5000
Rh  0.5000  0.0000  0.5000

Results
Energy of formation from the pure elements   -29.7 kJ/mol of atoms
Spin magnetization   0.56 μB/f.u.
E above lowest polymorph   0.000 eV per formula unit


Material: NpCoRh
Method: DFT, PBE-GGA
State: relaxed

a b c (Å): 5.2425 5.2425 5.2425
angles (deg): 128.48 118.25 84.51
Sites, in units of the cell vectors:
Np  0.1541  0.1541  0.0000
Np  0.8459  0.8459  0.0000
Co  0.2561  0.5000  0.7561
Co  0.7439  0.5000  0.2439
Rh  0.3331  0.8331  0.5000
Rh  0.6669  0.1669  0.5000

Results
Energy of formation from the pure elements   5.1 kJ/mol of atoms
Spin magnetization   0.23 μB/f.u.


Material: NpCoRh2
Method: DFT, PBE-GGA
State: relaxed

a b c (Å): 4.4907 4.4907 4.4907
angles (deg): 60.00 60.00 60.00
Sites, in units of the cell vectors:
Np  0.0000  0.0000  0.0000
Co  0.5000  0.5000  0.5000
Rh  0.2500  0.2500  0.2500
Rh  0.7500  0.7500  0.7500

Results
Energy of formation from the pure elements   -10.3 kJ/mol of atoms
Spin magnetization   1.56 μB/f.u.
E above lowest polymorph   0.806 eV per formula unit


Material: NpCoSi2Rh
Method: DFT, PBE-GGA
State: relaxed

a b c (Å): 5.7463 5.7463 5.7463
angles (deg): 139.90 139.90 58.01
Sites, in units of the cell vectors:
Np  0.0000  0.0000  0.0000
Co  0.7500  0.2500  0.5000
Si  0.3781  0.3781  0.0000
Si  0.6219  0.6219  0.0000
Rh  0.2500  0.7500  0.5000

Results
ΔE_f (raw)   -627 meV per atom
Spin magnetization   4.00 μB/f.u.


Material: NpZnCoRh
Method: DFT, PBE-GGA
State: relaxed

a b c (Å): 4.4914 4.4914 4.4914
angles (deg): 60.00 60.00 60.00
Sites, in units of the cell vectors:
Np  0.0000  0.0000  0.0000
Zn  0.5000  0.5000  0.5000
Co  0.7500  0.7500  0.7500
Rh  0.2500  0.2500  0.2500

Results
Energy of formation from the pure elements   -14.4 kJ/mol of atoms
Spin magnetization   2.78 μB/f.u.


Material: NpCo4Ru
Method: DFT, PBE-GGA
State: relaxed

a b c (Å): 4.8421 4.8421 4.8421
angles (deg): 60.00 60.00 60.00
Sites, in units of the cell vectors:
Np  0.0000  0.0000  0.0000
Co  0.3760  0.3760  0.3760
Co  0.3760  0.3760  0.8720
Co  0.3760  0.8720  0.3760
Co  0.8720  0.3760  0.3760
Ru  0.7500  0.7500  0.7500

Results
Energy of formation from the pure elements   2.2 kJ/mol of atoms
Spin magnetization   2.95 μB/f.u.


Material: NpCoSbRu
Method: DFT, PBE-GGA
State: relaxed

a b c (Å): 4.6457 4.6457 4.6457
angles (deg): 60.00 60.00 60.00
Sites, in units of the cell vectors:
Np  0.0000  0.0000  0.0000
Co  0.7500  0.7500  0.7500
Sb  0.5000  0.5000  0.5000
Ru  0.2500  0.2500  0.2500

Results
ΔE_f (raw)   -39 meV per atom
Spin magnetization   1.61 μB/f.u.